Material: BeAsRh2
Method: DFT, PBE-GGA
State: relaxed

```
data_BeAsRh2
_space_group_name_H-M_alt 'P 1 m 1'
_space_group_IT_number 6
_cell_length_a 3.140
_cell_length_b 4.307
_cell_length_c 3.995
_cell_angle_alpha 90.00
_cell_angle_beta 90.03
_cell_angle_gamma 90.00
loop_
_space_group_symop_operation_xyz
'x,y,z'
'x,-y,z'
loop_
_atom_site_label
_atom_site_type_symbol
_atom_site_fract_x
_atom_site_fract_y
_atom_site_fract_z
_atom_site_occupancy
Be1 Be 0.000 0.000 0.000 1
As1 As 0.502 0.500 0.200 1
Rh1 Rh 0.001 0.500 0.736 1
Rh2 Rh 0.501 0.000 0.495 1
```

Calculated values
Energy of formation   -0.2839 eV/atom
D(E_F)   0.49 states/eV/atom
E_tot   -6.054 eV per atom

Material: In2ReHg
Method: DFT, PBE-GGA
State: relaxed

```
data_In2ReHg
_space_group_name_H-M_alt 'P m m m'
_space_group_IT_number 47
_cell_length_a 3.599
_cell_length_b 3.651
_cell_length_c 6.111
_cell_angle_alpha 90.00
_cell_angle_beta 90.00
_cell_angle_gamma 90.00
loop_
_space_group_symop_operation_xyz
'x,y,z'
'-x,-y,-z'
'-x,-y,z'
'x,y,-z'
'x,-y,-z'
'-x,y,z'
'-x,y,-z'
'x,-y,z'
loop_
_atom_site_label
_atom_site_type_symbol
_atom_site_fract_x
_atom_site_fract_y
_atom_site_fract_z
_atom_site_occupancy
In1 In 0.000 0.000 0.231 1
Re1 Re 0.500 0.500 0.000 1
Hg1 Hg 0.500 0.500 0.500 1
```

Calculated values
Energy of formation   0.5351 eV/atom
D(E_F)   0.55 states/eV/atom
E_tot   -4.022 eV per atom